[1]
DFT (PBE-GGA) results for a geometry-optimized CsReMo3 structure.

CIF file:
```
data_CsReMo3
_cell_length_a 4.979
_cell_length_b 4.979
_cell_length_c 4.979
_cell_angle_alpha 90.00
_cell_angle_beta 90.00
_cell_angle_gamma 90.00
_space_group_name_H-M_alt 'P m -3 m'
_space_group_IT_number 221
_space_group_name_Hall '-P 4 2 3'
loop_
_atom_site_label
_atom_site_type_symbol
_atom_site_fract_x
_atom_site_fract_y
_atom_site_fract_z
Cs1 Cs 0.000 0.000 0.000
Re1 Re 0.500 0.500 0.500
Mo1 Mo 0.000 0.500 0.500
```

Output
- Energy of formation: 1.888 eV per atom



[2]
DFT (PBE-GGA) results for a geometry-optimized Pu2AlTl3O9 structure.

CIF file:
```
data_Pu2AlTl3O9
_cell_length_a 5.8487
_cell_length_b 5.8487
_cell_length_c 7.2300
_cell_angle_alpha 90.00
_cell_angle_beta 90.00
_cell_angle_gamma 120.00
_space_group_name_H-M_alt 'P -3 m 1'
_space_group_IT_number 164
_space_group_name_Hall '-P 3 2"'
loop_
_atom_site_label
_atom_site_type_symbol
_atom_site_fract_x
_atom_site_fract_y
_atom_site_fract_z
Pu1 Pu 0.3333 0.6667 0.1844
Al1 Al 0.0000 0.0000 0.5000
Tl1 Tl 0.0000 0.0000 0.0000
Tl2 Tl 0.3333 0.6667 0.6615
O1 O 0.0000 0.5000 0.0000
O2 O 0.1608 0.3217 0.3418
```

Output
- Formation energy (no corrections): -1.94 eV per atom



[3]
DFT (PBE-GGA) results for a geometry-optimized Pm5ThTe8 structure.

CIF file:
```
data_Pm5ThTe8
_cell_length_a 9.883
_cell_length_b 9.883
_cell_length_c 9.089
_cell_angle_alpha 90.00
_cell_angle_beta 90.00
_cell_angle_gamma 90.00
_space_group_name_H-M_alt 'I -4'
_space_group_IT_number 82
_space_group_name_Hall 'I -4'
loop_
_atom_site_label
_atom_site_type_symbol
_atom_site_fract_x
_atom_site_fract_y
_atom_site_fract_z
Pm1 Pm 0.000 0.000 0.000
Pm2 Pm 0.177 0.750 0.627
Th1 Th 0.000 0.500 0.250
Te1 Te 0.059 0.679 0.942
Te2 Te 0.061 0.821 0.312
```

Output
- Formation energy (no corrections): -1.36 eV per atom



[4]
DFT (PBE-GGA) results for a geometry-optimized Er2AgPd structure.

CIF file:
```
data_Er2AgPd
_cell_length_a 3.531
_cell_length_b 3.531
_cell_length_c 7.144
_cell_angle_alpha 90.00
_cell_angle_beta 90.00
_cell_angle_gamma 90.00
_space_group_name_H-M_alt 'P 4/m m m'
_space_group_IT_number 123
_space_group_name_Hall '-P 4 2'
loop_
_atom_site_label
_atom_site_type_symbol
_atom_site_fract_x
_atom_site_fract_y
_atom_site_fract_z
Er1 Er 0.000 0.000 0.240
Ag1 Ag 0.500 0.500 0.500
Pd1 Pd 0.500 0.500 0.000
```

Output
- Energy of formation: -0.628 eV per atom



[5]
DFT (PBE-GGA) results for a geometry-optimized TlNiPt4 structure.

CIF file:
```
data_TlNiPt4
_cell_length_a 7.529
_cell_length_b 7.529
_cell_length_c 7.529
_cell_angle_alpha 90.00
_cell_angle_beta 90.00
_cell_angle_gamma 90.00
_space_group_name_H-M_alt 'F -4 3 m'
_space_group_IT_number 216
_space_group_name_Hall 'F -4 2 3'
loop_
_atom_site_label
_atom_site_type_symbol
_atom_site_fract_x
_atom_site_fract_y
_atom_site_fract_z
Tl1 Tl 0.000 0.000 0.000
Ni1 Ni 0.250 0.250 0.750
Pt1 Pt 0.125 0.125 0.375
```

Output
- Energy of formation: 0.225 eV per atom



[6]
DFT (PBE-GGA) results for a geometry-optimized Ac2YIn structure.

CIF file:
```
data_Ac2YIn
_cell_length_a 4.190
_cell_length_b 4.190
_cell_length_c 8.376
_cell_angle_alpha 90.00
_cell_angle_beta 90.00
_cell_angle_gamma 90.00
_space_group_name_H-M_alt 'P 4/m m m'
_space_group_IT_number 123
_space_group_name_Hall '-P 4 2'
loop_
_atom_site_label
_atom_site_type_symbol
_atom_site_fract_x
_atom_site_fract_y
_atom_site_fract_z
Ac1 Ac 0.000 0.000 0.228
Y1 Y 0.500 0.500 0.500
In1 In 0.500 0.500 0.000
```

Output
- Energy of formation: -0.142 eV per atom



Calculated electronic total energy (eV/atom), listed in the same order as above: -7.271 -7.553 -5.378 -4.920 -5.160 -4.496